Compound: TbLuCuSn
Source: the Alexandria database
Functional: PBE
Structure: optimized geometry

formation energy from the elements	-0.409	eV/atom
size of the total moment	0.000	μB/atom
ρ	9.1	g/cm³

Cell: 7.2142 7.2142 7.2142 Å, 90.00 90.00 90.00°
With the nearest neighbours (Å) after each atom.
Space group F-43m (No. 216)
One atom of each set of equivalent atoms:
Tb1 0.0000 0.0000 0.0000 [4 per cell]  4 Sn 3.12, 4 Cu 3.12
Lu1 0.0000 0.0000 0.5000 [4 per cell]  4 Cu 3.12, 4 Sn 3.12
Cu1 0.2500 0.2500 0.7500 [4 per cell]  4 Tb 3.12, 4 Lu 3.12
Sn1 0.2500 0.2500 0.2500 [4 per cell]  4 Tb 3.12, 4 Lu 3.12